Entry 1:
Compound: AcLaSb2Pd2
Source: Alexandria via LeMat-Bulk
Functional: PBE
Structure: optimized geometry

Lattice parameters (Å, degrees): 4.6779 4.6779 8.4247 90.00 90.00 120.00
Last column: nearest neighbours and their distance in Å.
Sites, in units of the cell vectors:
Ac (0.0000, 0.0000, 0.0000)  6 Pd 3.45, 6 Sb 3.49
La (0.0000, 0.0000, 0.5000)  6 Sb 3.36, 6 Pd 3.40
Sb (0.3333, 0.6667, 0.2627)  3 Pd 2.70
Sb (0.6667, 0.3333, 0.7373)  3 Pd 2.70
Pd (0.3333, 0.6667, 0.7454)  3 Sb 2.70
Pd (0.6667, 0.3333, 0.2546)  3 Sb 2.70

Results
The total DFT energy (no corrections) is -5.740 eV per atom. Its space group is P-3m1.

***

Entry 2:
Compound: K3Tl4Cd
Source: Alexandria via LeMat-Bulk
Functional: PBE
Structure: optimized geometry

Lattice parameters (Å, degrees): 8.0976 8.0976 7.5778 97.37 97.37 38.39
Last column: nearest neighbours and their distance in Å.
Sites, in units of the cell vectors:
K (0.0000, 0.0000, 0.0000)  8 Tl 3.96-4.34, 4 K 4.43
K (0.3021, 0.3021, 0.1943)  1 Cd 3.55, 7 Tl 3.60-3.98
K (0.6979, 0.6979, 0.8057)  1 Cd 3.55, 7 Tl 3.60-3.98
Tl (0.1140, 0.1140, 0.5060)  2 Cd 3.18, 3 Tl 3.29-3.48
Tl (0.3454, 0.3454, 0.7237)  1 Cd 3.09, 2 Tl 3.29
Tl (0.6546, 0.6546, 0.2763)  1 Cd 3.09, 2 Tl 3.29
Tl (0.8860, 0.8860, 0.4940)  2 Cd 3.18, 3 Tl 3.29-3.48
Cd (0.5000, 0.5000, 0.5000)  6 Tl 3.09-3.18

Results
The total DFT energy (no corrections) is -1.771 eV per atom. Its space group is C2/m.

***

Entry 3:
Compound: Ni2SbW
Source: Alexandria via LeMat-Bulk
Functional: PBE
Structure: optimized geometry

Lattice parameters (Å, degrees): 9.0715 9.0715 9.0715 155.10 155.10 35.50
Last column: nearest neighbours and their distance in Å.
Sites, in units of the cell vectors:
Ni (0.1032, 0.6250, 0.9782)  2 W 2.53, 2 Sb 2.60, 2 Ni 2.65
Ni (0.3750, 0.3532, 0.4782)  2 W 2.53, 2 Sb 2.60, 2 Ni 2.65
Ni (0.6468, 0.1250, 0.0218)  2 W 2.53, 2 Sb 2.60, 2 Ni 2.65
Ni (0.8750, 0.8968, 0.5218)  2 W 2.53, 2 Sb 2.60, 2 Ni 2.65
Sb (0.2500, 0.7500, 0.5000)  4 Ni 2.60, 4 W 2.77
Sb (0.5000, 0.5000, 0.0000)  4 Ni 2.60, 4 W 2.77
W (0.0000, 0.0000, 0.0000)  4 Ni 2.53, 4 Sb 2.77
W (0.7500, 0.2500, 0.5000)  4 Ni 2.53, 4 Sb 2.77

Results
The total DFT energy (no corrections) is -6.492 eV per atom. Its space group is I-42d.

***

Entry 4:
Compound: CdCuOs2
Source: Alexandria via LeMat-Bulk
Functional: PBE
Structure: optimized geometry

Lattice parameters (Å, degrees): 4.6531 4.6531 5.0287 97.78 97.78 34.86
Last column: nearest neighbours and their distance in Å.
Sites, in units of the cell vectors:
Cd (0.0000, 0.0000, 0.0000)  3 Cu 2.58-2.74, 2 Cd 2.79, 4 Os 2.87-2.88
Cu (0.2464, 0.2464, 0.7834)  3 Cd 2.58-2.74, 5 Os 2.68-2.84, 2 Cu 2.79
Os (0.5002, 0.5002, 0.4991)  5 Os 2.54-2.79, 3 Cu 2.81-2.84
Os (0.7568, 0.7568, 0.3306)  5 Os 2.54-2.79, 2 Cu 2.68

Results
The total DFT energy (no corrections) is -6.400 eV per atom. Its space group is Cm.

***

Entry 5:
Compound: Tl2SiO
Source: Alexandria via LeMat-Bulk
Functional: PBE
Structure: optimized geometry

Lattice parameters (Å, degrees): 7.2004 7.2004 7.2004 132.99 132.99 68.67
Last column: nearest neighbours and their distance in Å.
Sites, in units of the cell vectors:
Tl (0.0884, 0.6250, 0.9634)  2 O 2.40, 2 Si 2.64
Tl (0.3750, 0.3384, 0.4634)  2 O 2.40, 2 Si 2.64
Tl (0.6616, 0.1250, 0.0366)  2 O 2.40, 2 Si 2.64
Tl (0.8750, 0.9116, 0.5366)  2 O 2.40, 2 Si 2.64
Si (0.2500, 0.7500, 0.5000)  4 Tl 2.64
Si (0.5000, 0.5000, 0.0000)  4 Tl 2.64
O (0.0000, 0.0000, 0.0000)  4 Tl 2.40
O (0.7500, 0.2500, 0.5000)  4 Tl 2.40

Results
The offset from the most stable computed form comes out at 0.0 meV per atom. Its space group is I-42d.

***

Entry 6:
Compound: CaTmPt
Source: Alexandria via LeMat-Bulk
Functional: PBE
Structure: optimized geometry

Lattice parameters (Å, degrees): 8.9655 8.9655 4.6684 90.00 90.00 151.69
Last column: nearest neighbours and their distance in Å.
Sites, in units of the cell vectors:
Ca (0.0851, 0.9149, 0.7500)  4 Pt 3.41, 4 Tm 3.58-3.72, 2 Ca 3.77
Ca (0.9149, 0.0851, 0.2500)  4 Pt 3.41, 4 Tm 3.58-3.72, 2 Ca 3.77
Tm (0.2518, 0.7482, 0.2500)  4 Pt 2.78-2.86
Tm (0.7482, 0.2518, 0.7500)  4 Pt 2.78-2.86
Pt (0.3468, 0.6532, 0.7500)  4 Tm 2.78-2.86
Pt (0.6532, 0.3468, 0.2500)  4 Tm 2.78-2.86

Results
The offset from the most stable computed form comes out at 74.6 meV per atom. Its space group is Cmcm.

***

Entry 7:
Compound: PrEuInAg
Source: Alexandria via LeMat-Bulk
Functional: PBE
Structure: optimized geometry

Lattice parameters (Å, degrees): 5.4709 5.4709 5.4709 60.00 60.00 60.00
Last column: nearest neighbours and their distance in Å.
Sites, in units of the cell vectors:
Pr (0.0000, 0.0000, 0.0000)  4 In 3.35, 4 Ag 3.35
Eu (0.5000, 0.5000, 0.5000)  4 Ag 3.35, 4 In 3.35
In (0.2500, 0.2500, 0.2500)  4 Eu 3.35, 4 Pr 3.35
Ag (0.7500, 0.7500, 0.7500)  4 Eu 3.35, 4 Pr 3.35

Results
The total DFT energy (no corrections) is -5.519 eV per atom. Its space group is F-43m.

***

Entry 8:
Compound: NaP2RuO
Source: Alexandria via LeMat-Bulk
Functional: PBE
Structure: optimized geometry

Lattice parameters (Å, degrees): 4.7439 4.7439 3.7957 90.00 90.00 90.00
Last column: nearest neighbours and their distance in Å.
Sites, in units of the cell vectors:
Na (0.0000, 0.0000, 0.0000)  2 O 1.90
P (0.0000, 0.5000, 0.0000)  2 Na 2.37
P (0.5000, 0.0000, 0.0000)  2 Na 2.37
Ru (0.5000, 0.5000, 0.5000)  8 P 3.04, 4 O 3.35
O (0.0000, 0.0000, 0.5000)  2 Na 1.90

Results
The offset from the most stable computed form comes out at 1498.0 meV per atom. Its space group is P4/mmm.